# 1
The following is a PBE calculation of a geometry-optimized Na2YOs structure, from the Alexandria database.

```
Na2YOs
1.0
-3.682 3.182 0.730
-0.692 3.725 -3.141
-3.894 -0.010 -3.010
Na Y Os
2 1 1
direct
0.750 0.750 0.750
0.250 0.250 0.250
0.000 0.000 0.000
0.500 0.500 0.500
```

Output
* formation energy from the elements: 0.905 eV per atom
* electronic total energy: -4.178 eV per atom
* DOS at the Fermi energy: 0.76 states/eV/atom
* energy above the lowest structure with this stoichiometry: 0.2931 eV/atom

---

# 2
The following is a PBE calculation of a geometry-optimized CeTm2RuN4 structure, from the Alexandria database.

```
CeTm2RuN4
1.0
-0.392 3.237 -0.854
-1.306 -0.369 5.855
10.910 1.994 2.559
N Tm Ce Ru
8 4 2 2
direct
0.000 0.000 0.500
0.544 0.087 0.250
0.730 0.460 0.627
0.000 0.000 0.000
0.270 0.540 0.127
0.456 0.913 0.750
0.270 0.540 0.373
0.730 0.460 0.873
0.630 0.260 0.045
0.370 0.740 0.545
0.630 0.260 0.455
0.370 0.740 0.955
0.116 0.232 0.750
0.884 0.768 0.250
0.143 0.286 0.250
0.857 0.714 0.750
```

Output
* electronic total energy: -8.307 eV per atom
* DOS at the Fermi energy: 0.51 states/eV/atom
* energy relative to the elements, uncorrected: -1.13 eV/atom

---

# 3
The following is a PBE calculation of a geometry-optimized Li2Ca3Au9 structure, from the Alexandria database.

```
Li2Ca3Au9
1.0
4.156 0.000 0.000
2.078 8.485 -0.196
2.078 1.732 8.309
Ca Au Li
3 9 2
direct
0.299 0.701 0.701
0.000 0.000 0.000
0.701 0.299 0.299
0.000 0.500 0.500
0.346 0.027 0.280
0.130 0.167 0.573
0.654 0.973 0.720
0.870 0.833 0.427
0.346 0.280 0.027
0.870 0.427 0.833
0.654 0.720 0.973
0.130 0.573 0.167
0.500 0.300 0.700
0.500 0.700 0.300
```

Output
* formation energy from the elements: -0.588 eV per atom
* electronic total energy: -3.397 eV per atom
* DOS at the Fermi energy: 0.35 states/eV/atom

---

# 4
The following is a PBE calculation of a geometry-optimized PtCl6O2 structure, from the Alexandria database.

```
PtCl6O2
1.0
-0.199 -5.892 -3.166
-5.705 -2.108 -2.790
-0.592 -0.200 -6.662
Cl Pt O
6 1 2
direct
0.244 0.756 0.756
0.756 0.244 0.756
0.756 0.756 0.244
0.244 0.244 0.756
0.756 0.244 0.244
0.244 0.756 0.244
0.000 0.000 0.000
0.250 0.250 0.250
0.750 0.750 0.750
```

Output
* electronic total energy: -2.466 eV per atom
* DOS at the Fermi energy: 1.08 states/eV/atom
* energy relative to the elements, uncorrected: 0.54 eV/atom

---

# 5
The following is a PBE calculation of a geometry-optimized NdSmEu2 structure, from the Alexandria database.

```
NdSmEu2
1.0
-2.262 2.083 -2.101
-2.766 -1.602 -1.910
-9.228 1.695 8.316
Eu Sm Nd
2 1 1
direct
0.250 0.250 0.249
0.750 0.750 0.751
0.000 0.000 0.000
0.500 0.500 0.500
```

Output
* formation energy from the elements: 0.078 eV per atom
* electronic total energy: -7.431 eV per atom
* DOS at the Fermi energy: 1.40 states/eV/atom
* energy above the lowest structure with this stoichiometry: 0.0000 eV/atom

---

# 6
The following is a PBE calculation of a geometry-optimized SbSe2SBr structure, from the Alexandria database.

```
SbSe2SBr
1.0
-1.763 -3.863 2.543
3.730 -2.797 -1.662
2.777 1.345 3.967
Sb S Se Br
1 1 2 1
direct
0.500 0.500 0.500
0.000 0.000 0.000
0.000 0.500 0.000
0.500 0.000 0.000
0.000 0.000 0.500
```

Output
* electronic total energy: -2.937 eV per atom
* DOS at the Fermi energy: 0.89 states/eV/atom
* energy above the lowest structure with this stoichiometry: 0.0000 eV/atom
* energy relative to the elements, uncorrected: 0.44 eV/atom

---

# 7
The following is a PBE calculation of a geometry-optimized FeRu2 structure, from the Alexandria database.

```
FeRu2
1.0
-2.035 0.885 5.561
-1.135 -2.814 -5.162
1.950 -2.958 1.184
Ru Fe
4 2
direct
0.583 0.417 0.250
0.753 0.247 0.750
0.247 0.753 0.250
0.417 0.583 0.750
0.917 0.083 0.250
0.083 0.917 0.750
```

Output
* formation energy from the elements: 0.132 eV per atom
* electronic total energy: -8.872 eV per atom
* DOS at the Fermi energy: 1.09 states/eV/atom

---

# 8
The following is a PBE calculation of a geometry-optimized ThMgCu2Si2 structure, from the Alexandria database.

```
ThMgCu2Si2
1.0
4.151 0.000 0.000
-2.075 3.595 0.000
0.000 0.000 7.043
Th Si Cu Mg
1 2 2 1
direct
0.000 0.000 0.000
0.667 0.333 0.732
0.333 0.667 0.268
0.667 0.333 0.307
0.333 0.667 0.693
0.000 0.000 0.500
```

Output
* electronic total energy: -5.151 eV per atom
* DOS at the Fermi energy: 0.24 states/eV/atom
* energy relative to the elements, uncorrected: -0.48 eV/atom

---

# 9
The following is a PBE calculation of a geometry-optimized Sr2SnAs structure, from the Alexandria database.

```
Sr2SnAs
1.0
-2.742 7.022 -4.424
-8.284 -2.034 1.905
-5.310 4.433 1.693
Sr As Sn
4 2 2
direct
0.875 0.839 0.750
0.161 0.625 0.250
0.375 0.411 0.750
0.589 0.125 0.250
0.250 0.750 0.500
0.500 0.500 0.000
0.750 0.250 0.500
0.000 0.000 0.000
```

Output
* formation energy from the elements: -0.507 eV per atom
* electronic total energy: -3.511 eV per atom
* DOS at the Fermi energy: 0.44 states/eV/atom
* energy above the lowest structure with this stoichiometry: 0.2335 eV/atom

---

# 10
The following is a PBE calculation of a geometry-optimized CaPrGaSn structure, from the Alexandria database.

```
CaPrGaSn
1.0
5.378 0.000 0.000
2.689 4.657 0.000
2.689 1.552 4.391
Ga Sn Ca Pr
1 1 1 1
direct
0.750 0.750 0.750
0.250 0.250 0.250
0.500 0.500 0.500
0.000 0.000 0.000
```

Output
* formation energy from the elements: -0.533 eV per atom
* electronic total energy: -3.986 eV per atom
* DOS at the Fermi energy: 0.58 states/eV/atom
* energy above the lowest structure with this stoichiometry: 0.1147 eV/atom

---

# 11
The following is a PBE calculation of a geometry-optimized BaLiAgSe2 structure, from the Alexandria database.

```
BaLiAgSe2
1.0
5.997 0.000 0.000
0.000 6.000 0.000
0.000 -3.000 7.192
Li Se Ag Ba
2 4 2 2
direct
0.500 0.750 0.000
0.500 0.250 0.000
0.717 0.627 0.254
0.283 0.127 0.254
0.717 0.873 0.746
0.283 0.373 0.746
0.000 0.000 0.000
0.000 0.500 0.000
0.762 0.250 0.500
0.238 0.750 0.500
```

Output
* electronic total energy: -3.896 eV per atom
* energy relative to the elements, uncorrected: -1.16 eV/atom

---

# 12
The following is a PBE calculation of a geometry-optimized LaZnCu2 structure, from the Alexandria database.

```
LaZnCu2
1.0
4.271 0.001 0.013
2.130 3.703 0.013
2.139 1.238 5.032
Cu La Zn
2 1 1
direct
0.989 0.989 0.031
0.302 0.302 0.093
0.504 0.504 0.490
0.705 0.705 0.886
```

Output
* formation energy from the elements: -0.195 eV per atom
* electronic total energy: -3.793 eV per atom
* DOS at the Fermi energy: 0.75 states/eV/atom

---

# 13
The following is a PBE calculation of a geometry-optimized Pr2SbHPd6 structure, from the Alexandria database.

```
Pr2SbHPd6
1.0
-0.931 -2.113 -5.355
1.876 -6.545 2.260
-3.451 -6.271 -0.106
Pd Sb Pr H
6 1 2 1
direct
0.727 0.278 0.045
0.727 0.773 0.551
0.765 0.723 0.959
0.235 0.277 0.041
0.273 0.722 0.955
0.273 0.227 0.449
0.000 0.000 0.000
0.273 0.732 0.458
0.727 0.268 0.542
0.500 0.500 0.000
```

Output
* electronic total energy: -5.475 eV per atom
* DOS at the Fermi energy: 0.50 states/eV/atom

---

# 14
The following is a PBE calculation of a geometry-optimized HoGe3Pt3 structure, from the Alexandria database.

```
HoGe3Pt3
1.0
6.805 0.000 0.000
0.000 6.805 0.000
0.000 0.000 6.805
Ge Pt Ho
6 6 2
direct
0.000 0.500 0.750
0.250 0.000 0.500
0.500 0.750 0.000
0.750 0.000 0.500
0.000 0.500 0.250
0.500 0.250 0.000
0.750 0.500 0.000
0.250 0.500 0.000
0.000 0.750 0.500
0.500 0.000 0.750
0.500 0.000 0.250
0.000 0.250 0.500
0.500 0.500 0.500
0.000 0.000 0.000
```

Output
* formation energy from the elements: -0.313 eV per atom
* electronic total energy: -5.535 eV per atom
* DOS at the Fermi energy: 0.62 states/eV/atom

---

# 15
The following is a PBE calculation of a geometry-optimized Sr2CaCdRh structure, from the Alexandria database.

```
Sr2CaCdRh
1.0
-0.980 5.503 1.191
-5.625 -0.904 -0.453
-0.237 -1.195 5.325
Sr Cd Ca Rh
2 1 1 1
direct
0.000 0.500 0.000
0.500 0.000 0.000
0.000 0.000 0.500
0.500 0.500 0.500
0.000 0.000 0.000
```

Output
* formation energy from the elements: -0.100 eV per atom
* electronic total energy: -2.827 eV per atom
* DOS at the Fermi energy: 0.66 states/eV/atom
* energy above the lowest structure with this stoichiometry: 0.0973 eV/atom

---

# 16
The following is a PBE calculation of a geometry-optimized Na2HfScNb structure, from the Alexandria database.

```
Na2HfScNb
1.0
-5.030 -0.482 -1.516
-1.270 -1.105 4.568
-0.797 5.115 1.016
Hf Na Nb Sc
1 2 1 1
direct
0.500 0.500 0.500
0.500 0.000 0.000
0.000 0.000 0.500
0.000 0.000 0.000
0.000 0.500 0.000
```

Output
* formation energy from the elements: 1.585 eV per atom
* electronic total energy: -4.213 eV per atom
* DOS at the Fermi energy: 1.13 states/eV/atom

---

# 17
The following is a PBE calculation of a geometry-optimized BaY2Si structure, from the Alexandria database.

```
BaY2Si
1.0
-1.124 2.227 -6.486
0.060 -1.244 -6.837
-5.271 -1.555 -2.392
Y Ba Si
2 1 1
direct
0.937 0.937 0.063
0.563 0.563 0.437
0.750 0.750 0.750
0.250 0.250 0.250
```

Output
* electronic total energy: -5.236 eV per atom
* DOS at the Fermi energy: 1.47 states/eV/atom
* energy relative to the elements, uncorrected: -0.17 eV/atom

---

# 18
The following is a PBE calculation of a geometry-optimized Mg2ZrTa structure, from the Alexandria database.

```
Mg2ZrTa
1.0
-3.931 -4.378 -0.595
2.059 -5.380 -1.338
-0.285 4.561 3.753
Mg Ta Zr
2 1 1
direct
0.992 0.992 0.000
0.750 0.250 0.500
0.498 0.498 0.000
0.259 0.759 0.500
```

Output
* formation energy from the elements: 0.244 eV per atom
* electronic total energy: -5.653 eV per atom
* DOS at the Fermi energy: 0.80 states/eV/atom
* energy above the lowest structure with this stoichiometry: 0.1494 eV/atom

---

# 19
The following is a PBE calculation of a geometry-optimized CdTcAs2 structure, from the Alexandria database.

```
CdTcAs2
1.0
6.025 0.000 0.000
0.000 6.025 0.000
3.013 3.013 5.590
As Tc Cd
4 2 2
direct
0.375 0.426 0.750
0.176 0.625 0.250
0.875 0.824 0.750
0.574 0.125 0.250
0.500 0.500 0.000
0.250 0.750 0.500
0.000 0.000 0.000
0.750 0.250 0.500
```

Output
* formation energy from the elements: 0.203 eV per atom
* electronic total energy: -4.942 eV per atom
* DOS at the Fermi energy: 0.68 states/eV/atom

---

# 20
The following is a PBE calculation of a geometry-optimized CuAgPt2 structure, from the Alexandria database.

```
CuAgPt2
1.0
4.451 0.000 0.000
2.225 3.854 0.000
2.225 1.285 3.634
Cu Pt Ag
1 2 1
direct
0.750 0.750 0.750
0.000 0.000 0.000
0.250 0.250 0.250
0.500 0.500 0.500
```

Output
* formation energy from the elements: 0.080 eV per atom
* electronic total energy: -4.677 eV per atom
* DOS at the Fermi energy: 1.20 states/eV/atom
* energy above the lowest structure with this stoichiometry: 0.2150 eV/atom